VASP calculation (GGA-PBE) on an optimized crystal structure of Co2CuRh.

Values from the calculation:
- Fermi-level density of states: 1.318 states/eV per atom

a = 2.811 Å, b = 4.216 Å, c = 8.343 Å
α = 90.00°, β = 90.00°, γ = 90.00°
Space group Imm2 (No. 44)
Symmetry-distinct sites (fractional):
Co 0.000 0.000 0.000 x2
Co 0.000 0.500 0.272 x2
Cu 0.000 0.500 0.749 x2
Rh 0.000 0.000 0.516 x2


VASP calculation (GGA-PBE) on an optimized crystal structure of Co2CuRh.

Values from the calculation:
- Fermi-level density of states: 1.084 states/eV per atom

a = 8.561 Å, b = 2.626 Å, c = 4.442 Å
α = 90.00°, β = 101.49°, γ = 90.00°
Space group Cm (No. 8)
Symmetry-distinct sites (fractional):
Co 0.000 0.000 0.000 x2
Co 0.240 0.500 0.239 x2
Cu 0.247 0.000 0.755 x2
Rh 0.490 0.000 0.490 x2


VASP calculation (GGA-PBE) on an optimized crystal structure of CoCu2Rh.

Values from the calculation:
- Fermi-level density of states: 1.014 states/eV per atom

a = 3.712 Å, b = 3.712 Å, c = 7.218 Å
α = 90.00°, β = 90.00°, γ = 90.00°
Space group I-4m2 (No. 119)
Symmetry-distinct sites (fractional):
Co 0.000 0.000 0.000 x2
Cu 0.000 0.000 0.500 x2
Cu 0.000 0.500 0.750 x2
Rh 0.000 0.500 0.250 x2


VASP calculation (GGA-PBE) on an optimized crystal structure of CoCu2Rh.

Values from the calculation:
- Fermi-level density of states: 1.283 states/eV per atom

a = 8.715 Å, b = 2.645 Å, c = 4.409 Å
α = 90.00°, β = 101.49°, γ = 90.00°
Space group C2/m (No. 12)
Symmetry-distinct sites (fractional):
Co 0.000 0.000 0.000 x2
Cu 0.247 0.500 0.244 x4
Rh 0.000 0.500 0.500 x2


Electronic total energy per entry: -6.2556; -6.3117; -5.5726; -5.5538 eV/atom
ΔE_f per entry: 0.159; 0.103; 0.090; 0.109 eV/atom